--- A ---
The following is a DFT calculation (PBEsol) of Tl2AgRh after structural relaxation.

The structure in POSCAR format:
```
Tl2AgRh
1.0
-2.007 2.007 4.678
2.007 -2.007 4.678
2.007 2.007 -4.678
Tl Ag Rh
2 1 1
Direct
0.000 0.000 0.000 Tl
0.750 0.250 0.500 Tl
0.500 0.500 0.000 Ag
0.250 0.750 0.500 Rh
```

Summary:
density of states at the Fermi level	1.49	states/eV per cell
SG	I-4m2
total magnetic moment	0.0	Bohr magnetons per cell
ρ	13.652	g/cm3

--- B ---
The following is a DFT calculation (PBEsol) of Tl2AgRh after structural relaxation.

The structure in POSCAR format:
```
Tl2AgRh
1.0
3.190 0.000 0.000
0.000 3.455 0.000
0.000 0.000 6.880
Tl Ag Rh
2 1 1
Direct
0.000 0.000 0.233 Tl
0.000 0.000 0.767 Tl
0.500 0.500 0.500 Ag
0.500 0.500 0.000 Rh
```

Summary:
density of states at the Fermi level	1.95	states/eV per cell
SG	Pmmm
total magnetic moment	0.0	Bohr magnetons per cell
ρ	13.568	g/cm3

--- C ---
The following is a DFT calculation (PBEsol) of Tl2AgRh after structural relaxation.

The structure in POSCAR format:
```
Tl2AgRh
1.0
3.397 0.000 0.000
0.000 3.944 0.000
0.000 0.000 5.782
Tl Ag Rh
2 1 1
Direct
0.000 0.000 0.000 Tl
0.500 0.500 0.319 Tl
0.000 0.000 0.534 Ag
0.500 0.500 0.803 Rh
```

Summary:
density of states at the Fermi level	2.01	states/eV per cell
SG	Pmm2
total magnetic moment	0.0	Bohr magnetons per cell
ρ	13.280	g/cm3

--- D ---
The following is a DFT calculation (PBEsol) of Tl2AgRh after structural relaxation.

The structure in POSCAR format:
```
Tl2AgRh
1.0
6.349 -1.528 0.000
6.349 1.528 0.000
-1.585 0.000 4.208
Tl Ag Rh
2 1 1
Direct
0.000 0.000 0.000 Tl
0.216 0.216 0.716 Tl
0.398 0.398 0.398 Ag
0.700 0.700 0.200 Rh
```

Summary:
density of states at the Fermi level	2.15	states/eV per cell
SG	Cm
total magnetic moment	0.0	Bohr magnetons per cell
ρ	12.603	g/cm3

Relative energies in eV/atom: A 0.057; B 0.062; C 0.087; D 0.000

--- A ---
The following is a DFT calculation (PBEsol) of Ag2RhW after structural relaxation.

The structure in POSCAR format:
```
Ag2RhW
1.0
1.389 0.802 9.284
-1.389 0.802 9.284
0.000 -1.604 9.284
Ag Rh W
2 1 1
Direct
0.000 0.000 0.000 Ag
0.248 0.248 0.248 Ag
0.752 0.752 0.752 Rh
0.493 0.493 0.493 W
```

Summary:
density of states at the Fermi level	1.63	states/eV per cell
SG	R3m
total magnetic moment	0.0	Bohr magnetons per cell
ρ	13.441	g/cm3

--- B ---
The following is a DFT calculation (PBEsol) of Ag2RhW after structural relaxation.

The structure in POSCAR format:
```
Ag2RhW
1.0
2.778 0.000 0.000
0.000 4.584 0.000
0.000 0.000 4.911
Ag Rh W
2 1 1
Direct
0.000 0.000 0.000 Ag
0.500 0.500 0.000 Ag
0.000 0.500 0.500 Rh
0.500 0.000 0.500 W
```

Summary:
density of states at the Fermi level	3.42	states/eV per cell
SG	Pmmm
total magnetic moment	0.0	Bohr magnetons per cell
ρ	13.344	g/cm3

Relative energies in eV/atom: A 0.000; B 0.340

--- A ---
The following is a DFT calculation (PBEsol) of Ag2RhW after structural relaxation.

The structure in POSCAR format:
```
Ag2RhW
1.0
1.434 -2.268 0.000
1.434 2.268 0.000
0.000 0.000 9.561
Ag Rh W
2 1 1
Direct
0.000 0.000 0.245 Ag
0.000 0.000 0.755 Ag
0.500 0.500 0.000 Rh
0.500 0.500 0.500 W
```

Summary:
density of states at the Fermi level	3.63	states/eV per cell
SG	Cmmm
total magnetic moment	0.0	Bohr magnetons per cell
ρ	13.412	g/cm3

--- B ---
The following is a DFT calculation (PBEsol) of Ag2RhW after structural relaxation.

The structure in POSCAR format:
```
Ag2RhW
1.0
3.713 0.000 0.000
0.000 3.713 0.000
0.000 0.000 4.512
Ag Rh W
2 1 1
Direct
0.000 0.500 0.000 Ag
0.500 0.000 0.000 Ag
0.000 0.000 0.500 Rh
0.500 0.500 0.500 W
```

Summary:
density of states at the Fermi level	5.34	states/eV per cell
SG	P4/mmm
total magnetic moment	0.0	Bohr magnetons per cell
ρ	13.417	g/cm3

Relative energies in eV/atom: A 0.000; B 0.122

--- A ---
The following is a DFT calculation (PBEsol) of AgRhW after structural relaxation.

The structure in POSCAR format:
```
AgRhW
1.0
0.000 2.258 7.004
1.462 0.000 7.004
1.462 2.258 0.000
Ag Rh W
1 1 1
Direct
0.000 0.000 0.000 Ag
0.328 0.328 0.672 Rh
0.676 0.676 0.324 W
```

Summary:
density of states at the Fermi level	1.90	states/eV per cell
SG	Fmm2
total magnetic moment	0.0	Bohr magnetons per cell
ρ	14.171	g/cm3

--- B ---
The following is a DFT calculation (PBEsol) of AgRhW after structural relaxation.

The structure in POSCAR format:
```
AgRhW
1.0
-1.383 1.948 4.142
1.383 -1.948 4.142
1.383 1.948 -4.142
Ag Rh W
1 1 1
Direct
0.000 0.000 0.000 Ag
0.672 0.672 0.000 Rh
0.326 0.326 0.000 W
```

Summary:
density of states at the Fermi level	1.68	states/eV per cell
SG	Imm2
total magnetic moment	0.0	Bohr magnetons per cell
ρ	14.674	g/cm3

Relative energies in eV/atom: A 0.089; B 0.000

--- A ---
The following is a DFT calculation (PBEsol) of ZrAg2Rh after structural relaxation.

The structure in POSCAR format:
```
ZrAg2Rh
1.0
-2.030 2.030 4.001
2.030 -2.030 4.001
2.030 2.030 -4.001
Zr Ag Rh
1 2 1
Direct
0.000 0.000 0.000 Zr
0.500 0.500 0.000 Ag
0.750 0.250 0.500 Ag
0.250 0.750 0.500 Rh
```

Summary:
density of states at the Fermi level	1.89	states/eV per cell
SG	I-4m2
total magnetic moment	0.0	Bohr magnetons per cell
ρ	10.319	g/cm3

--- B ---
The following is a DFT calculation (PBEsol) of ZrAg2Rh after structural relaxation.

The structure in POSCAR format:
```
ZrAg2Rh
1.0
1.414 0.816 9.637
-1.414 0.816 9.637
0.000 -1.633 9.637
Zr Ag Rh
1 2 1
Direct
0.000 0.000 0.000 Zr
0.245 0.245 0.245 Ag
0.755 0.755 0.755 Ag
0.500 0.500 0.500 Rh
```

Summary:
density of states at the Fermi level	4.11	states/eV per cell
SG	R-3m
total magnetic moment	0.2	Bohr magnetons per cell
ρ	10.195	g/cm3

--- C ---
The following is a DFT calculation (PBEsol) of ZrAg2Rh after structural relaxation.

The structure in POSCAR format:
```
ZrAg2Rh
1.0
-1.912 1.912 4.503
1.912 -1.912 4.503
1.912 1.912 -4.503
Zr Ag Rh
1 2 1
Direct
0.000 0.000 0.000 Zr
0.250 0.750 0.500 Ag
0.750 0.250 0.500 Ag
0.500 0.500 0.000 Rh
```

Summary:
density of states at the Fermi level	1.12	states/eV per cell
SG	I4/mmm
total magnetic moment	0.0	Bohr magnetons per cell
ρ	10.340	g/cm3

Relative energies in eV/atom: A 0.087; B 0.524; C 0.000

--- A ---
The following is a DFT calculation (PBEsol) of Si2AgRu after structural relaxation.

The structure in POSCAR format:
```
Si2AgRu
1.0
2.987 0.000 0.000
0.000 3.994 0.000
0.000 0.000 4.831
Si Ag Ru
2 1 1
Direct
0.000 0.000 0.000 Si
0.500 0.000 0.500 Si
0.000 0.500 0.500 Ag
0.500 0.500 0.000 Ru
```

Summary:
density of states at the Fermi level	2.59	states/eV per cell
SG	Pmmm
total magnetic moment	0.0	Bohr magnetons per cell
ρ	7.637	g/cm3

--- B ---
The following is a DFT calculation (PBEsol) of Si2AgRu after structural relaxation.

The structure in POSCAR format:
```
Si2AgRu
1.0
2.755 0.000 0.000
0.000 2.921 0.000
0.000 0.000 7.438
Si Ag Ru
2 1 1
Direct
0.000 0.000 0.202 Si
0.000 0.000 0.798 Si
0.500 0.000 0.500 Ag
0.500 0.500 0.000 Ru
```

Summary:
density of states at the Fermi level	1.52	states/eV per cell
SG	Pmmm
total magnetic moment	0.0	Bohr magnetons per cell
ρ	7.355	g/cm3

Relative energies in eV/atom: A 0.366; B 0.000

--- A ---
The following is a DFT calculation (PBEsol) of TcAgRu after structural relaxation.

The structure in POSCAR format:
```
TcAgRu
1.0
2.722 0.000 0.000
-1.361 2.357 0.000
0.000 0.000 6.866
Tc Ag Ru
1 1 1
Direct
0.000 0.000 0.000 Tc
0.667 0.333 0.643 Ag
0.333 0.667 0.289 Ru
```

Summary:
density of states at the Fermi level	2.06	states/eV per cell
SG	P3m1
total magnetic moment	0.0	Bohr magnetons per cell
ρ	11.570	g/cm3

--- B ---
The following is a DFT calculation (PBEsol) of TcAgRu after structural relaxation.

The structure in POSCAR format:
```
TcAgRu
1.0
-1.388 1.388 5.765
1.388 -1.388 5.765
1.388 1.388 -5.765
Tc Ag Ru
1 1 1
Direct
0.000 0.000 0.000 Tc
0.683 0.683 0.000 Ag
0.364 0.364 0.000 Ru
```

Summary:
density of states at the Fermi level	2.93	states/eV per cell
SG	I4mm
total magnetic moment	0.0	Bohr magnetons per cell
ρ	11.478	g/cm3

--- C ---
The following is a DFT calculation (PBEsol) of TcAgRu after structural relaxation.

The structure in POSCAR format:
```
TcAgRu
1.0
-1.379 1.868 4.208
1.379 -1.868 4.208
1.379 1.868 -4.208
Tc Ag Ru
1 1 1
Direct
0.000 0.000 0.000 Tc
0.679 0.679 0.000 Ag
0.358 0.358 0.000 Ru
```

Summary:
density of states at the Fermi level	2.44	states/eV per cell
SG	Imm2
total magnetic moment	0.0	Bohr magnetons per cell
ρ	11.752	g/cm3

Relative energies in eV/atom: A 0.000; B 0.086; C 0.171

--- A ---
The following is a DFT calculation (PBEsol) of TlAgRu2 after structural relaxation.

The structure in POSCAR format:
```
TlAgRu2
1.0
4.231 0.000 0.000
0.000 1.436 5.480
0.000 -1.436 5.480
Tl Ag Ru
1 1 2
Direct
0.000 0.000 0.000 Tl
0.500 0.360 0.360 Ag
0.000 0.738 0.738 Ru
0.500 0.636 0.636 Ru
```

Summary:
density of states at the Fermi level	3.45	states/eV per cell
SG	Amm2
total magnetic moment	0.0	Bohr magnetons per cell
ρ	12.829	g/cm3

--- B ---
The following is a DFT calculation (PBEsol) of TlAgRu2 after structural relaxation.

The structure in POSCAR format:
```
TlAgRu2
1.0
4.608 -1.440 0.000
4.608 1.440 0.000
-0.964 0.000 4.868
Tl Ag Ru
1 1 2
Direct
0.000 0.000 0.000 Tl
0.500 0.500 0.500 Ag
0.250 0.250 0.724 Ru
0.750 0.750 0.276 Ru
```

Summary:
density of states at the Fermi level	4.83	states/eV per cell
SG	C2/m
total magnetic moment	0.9	Bohr magnetons per cell
ρ	13.220	g/cm3

Relative energies in eV/atom: A 0.000; B 0.037

--- A ---
The following is a DFT calculation (PBEsol) of TlAgRu2 after structural relaxation.

The structure in POSCAR format:
```
TlAgRu2
1.0
2.797 -3.962 0.000
2.797 3.962 0.000
0.000 0.000 2.911
Tl Ag Ru
1 1 2
Direct
0.000 0.000 0.000 Tl
0.500 0.500 0.000 Ag
0.000 0.500 0.500 Ru
0.500 0.000 0.500 Ru
```

Summary:
density of states at the Fermi level	5.64	states/eV per cell
SG	Cmmm
total magnetic moment	1.7	Bohr magnetons per cell
ρ	13.240	g/cm3

--- B ---
The following is a DFT calculation (PBEsol) of TlAgRu2 after structural relaxation.

The structure in POSCAR format:
```
TlAgRu2
1.0
4.417 0.000 0.000
0.000 4.417 0.000
0.000 0.000 3.271
Tl Ag Ru
1 1 2
Direct
0.000 0.000 0.000 Tl
0.500 0.500 0.000 Ag
0.000 0.500 0.500 Ru
0.500 0.000 0.500 Ru
```

Summary:
density of states at the Fermi level	6.07	states/eV per cell
SG	P4/mmm
total magnetic moment	0.6	Bohr magnetons per cell
ρ	13.389	g/cm3

Relative energies in eV/atom: A 0.013; B 0.000

--- A ---
The following is a DFT calculation (PBEsol) of AgRuW2 after structural relaxation.

The structure in POSCAR format:
```
AgRuW2
1.0
2.728 0.000 0.000
0.000 2.728 0.000
0.000 0.000 8.258
Ag Ru W
1 1 2
Direct
0.000 0.000 0.000 Ag
0.500 0.500 0.259 Ru
0.000 0.000 0.476 W
0.500 0.500 0.738 W
```

Summary:
density of states at the Fermi level	2.98	states/eV per cell
SG	P4mm
total magnetic moment	0.0	Bohr magnetons per cell
ρ	15.581	g/cm3

--- B ---
The following is a DFT calculation (PBEsol) of AgRuW2 after structural relaxation.

The structure in POSCAR format:
```
AgRuW2
1.0
0.000 3.132 3.132
3.132 0.000 3.132
3.132 3.132 0.000
Ag Ru W
1 1 2
Direct
0.000 0.000 0.000 Ag
0.500 0.500 0.500 Ru
0.250 0.250 0.250 W
0.750 0.750 0.750 W
```

Summary:
density of states at the Fermi level	6.47	states/eV per cell
SG	Fm-3m
total magnetic moment	0.0	Bohr magnetons per cell
ρ	15.589	g/cm3

Relative energies in eV/atom: A 0.000; B 0.444

--- A ---
The following is a DFT calculation (PBEsol) of AgRuW2 after structural relaxation.

The structure in POSCAR format:
```
AgRuW2
1.0
-1.489 2.293 4.554
1.489 -2.293 4.554
1.489 2.293 -4.554
Ag Ru W
1 1 2
Direct
0.000 0.000 0.000 Ag
0.263 0.763 0.500 Ru
0.490 0.490 0.000 W
0.727 0.227 0.500 W
```

Summary:
density of states at the Fermi level	3.77	states/eV per cell
SG	Imm2
total magnetic moment	0.0	Bohr magnetons per cell
ρ	15.395	g/cm3

--- B ---
The following is a DFT calculation (PBEsol) of AgRuW2 after structural relaxation.

The structure in POSCAR format:
```
AgRuW2
1.0
3.869 0.000 0.000
0.000 3.869 0.000
0.000 0.000 4.010
Ag Ru W
1 1 2
Direct
0.000 0.000 0.000 Ag
0.500 0.500 0.000 Ru
0.000 0.500 0.500 W
0.500 0.000 0.500 W
```

Summary:
density of states at the Fermi level	2.42	states/eV per cell
SG	P4/mmm
total magnetic moment	0.0	Bohr magnetons per cell
ρ	15.954	g/cm3

Relative energies in eV/atom: A 0.153; B 0.000

--- A ---
The following is a DFT calculation (PBEsol) of AgRuW2 after structural relaxation.

The structure in POSCAR format:
```
AgRuW2
1.0
2.807 0.000 0.000
0.000 3.851 0.000
0.000 0.000 5.674
Ag Ru W
1 1 2
Direct
0.000 0.000 0.000 Ag
0.500 0.500 0.272 Ru
0.000 0.000 0.481 W
0.500 0.500 0.736 W
```

Summary:
density of states at the Fermi level	2.51	states/eV per cell
SG	Pmm2
total magnetic moment	0.0	Bohr magnetons per cell
ρ	15.611	g/cm3

--- B ---
The following is a DFT calculation (PBEsol) of AgRuW2 after structural relaxation.

The structure in POSCAR format:
```
AgRuW2
1.0
4.577 -1.390 0.000
4.577 1.390 0.000
-0.871 0.000 4.778
Ag Ru W
1 1 2
Direct
0.000 0.000 0.000 Ag
0.245 0.245 0.731 Ru
0.507 0.507 0.513 W
0.755 0.755 0.246 W
```

Summary:
density of states at the Fermi level	3.28	states/eV per cell
SG	Cm
total magnetic moment	0.0	Bohr magnetons per cell
ρ	15.750	g/cm3

Relative energies in eV/atom: A 0.000; B 0.028